[1]
# YFeTe2

Crystalline YFeTe2 at its relaxed geometry (PBE-GGA, Alexandria via LeMat-Bulk).

Cell and atoms, written as extended XYZ:
```
8
Lattice="-3.171 3.171 6.137 3.171 -3.171 6.137 3.171 3.171 -6.137" Properties=species:S:1:pos:R:3 pbc="T T T"
Y 0.000 0.000 0.000
Y 0.000 3.171 3.068
Fe 3.171 0.000 3.068
Fe 0.000 0.000 6.137
Te 1.585 -1.156 4.603
Te 2.014 1.585 1.534
Te 1.585 4.327 -1.534
Te 1.156 1.585 7.671
```

Computed properties:
Raw total energy = -5.511 eV per atom
Magnetic moment = 0.00 μB per cell

=====

[2]
# Rb2PaTeS6

Crystalline Rb2PaTeS6 at its relaxed geometry (PBE-GGA, Alexandria via LeMat-Bulk).

Cell and atoms, written as extended XYZ:
```
20
Lattice="3.715 2.145 12.537 -3.715 2.145 12.537 0.000 -4.290 12.537" Properties=species:S:1:pos:R:3 pbc="T T T"
Rb 0.000 0.000 4.708
Rb 0.000 0.000 11.179
Rb 0.000 0.000 26.432
Rb 0.000 0.000 32.903
Pa 0.000 0.000 15.484
Pa 0.000 0.000 22.126
Te 0.000 0.000 0.000
Te 0.000 0.000 18.805
S -1.750 -1.010 17.312
S 0.000 -2.180 14.131
S -1.888 1.090 14.131
S -1.888 -1.090 23.479
S 0.000 -2.021 20.298
S -1.750 1.010 20.298
S 1.750 -1.010 17.312
S 0.000 2.021 17.312
S 1.888 1.090 14.131
S 1.888 -1.090 23.479
S 0.000 2.180 23.479
S 1.750 1.010 20.298
```

Computed properties:
Raw total energy = -4.819 eV per atom
Magnetic moment = 0.00 μB per cell

=====

[3]
# Mn4Si2H

Crystalline Mn4Si2H at its relaxed geometry (PBE-GGA, Alexandria via LeMat-Bulk).

Cell and atoms, written as extended XYZ:
```
7
Lattice="-1.776 1.776 6.166 1.776 -1.776 6.166 1.776 1.776 -6.166" Properties=species:S:1:pos:R:3 pbc="T T T"
Mn 1.776 0.000 0.000
Mn 0.000 0.000 2.115
Mn 0.000 1.776 0.000
Mn 0.000 0.000 10.217
Si 0.000 0.000 4.483
Si 0.000 0.000 7.848
H 0.000 0.000 0.000
```

Computed properties:
Raw total energy = -7.475 eV per atom
Magnetic moment = 8.73 μB per cell

=====

[4]
# Re2PRu

Crystalline Re2PRu at its relaxed geometry (PBE-GGA, Alexandria via LeMat-Bulk).

Cell and atoms, written as extended XYZ:
```
4
Lattice="1.403 0.810 8.216 -1.403 0.810 8.216 0.000 -1.619 8.216" Properties=species:S:1:pos:R:3 pbc="T T T"
Re 0.000 0.000 0.000
Re 0.000 0.000 6.008
P 0.000 0.000 18.376
Ru 0.000 0.000 12.004
```

Computed properties:
DFT formation energy = -32 meV/atom
Magnetic moment = 0.00 μB per cell